# 1
Computed, not measured: a relaxed structure of HoEr2Sc9 at the PBE-GGA level of DFT.

Computed properties:
formation energy from the elements	0.26	eV per atom
total DFT energy (no corrections)	-0.2070	hartree per atom

Unit cell a=6.3381 b=6.3381 c=28.3939 alpha=90.00 beta=90.00 gamma=120.00
With the nearest neighbours (Å) after each atom.
Space group R-3m (No. 166, hexagonal axes)
One atom of each set of equivalent atoms:
1 Ho 0.0000 0.0000 0.0000 (multiplicity 3)  18 Sc 3.66-4.02, 2 Er 3.88
2 Er 0.0000 0.0000 0.1367 (multiplicity 6)  12 Sc 3.47-3.76, 1 Ho 3.88
3 Sc 0.0000 0.0000 0.3347 (multiplicity 6)  6 Sc 3.07-3.09
4 Sc 0.0000 0.0000 0.5000 (multiplicity 3)  6 Sc 2.95
5 Sc 0.0122 0.5061 0.9127 (multiplicity 18)  7 Sc 2.95-3.29


# 2
Computed, not measured: a relaxed structure of Ho7Er16Sc6 at the PBE-GGA level of DFT.

Computed properties:
formation energy from the elements	0.20	eV per atom
total DFT energy (no corrections)	-0.1740	hartree per atom

Unit cell a=15.1582 b=15.1582 c=15.1582 alpha=90.00 beta=90.00 gamma=90.00
With the nearest neighbours (Å) after each atom.
Space group Fm-3m (No. 225)
One atom of each set of equivalent atoms:
1 Ho 0.0000 0.0000 0.0000 (multiplicity 4)  6 Sc 3.39
2 Ho 0.0000 0.2500 0.2500 (multiplicity 24)  8 Er 3.14-3.40
3 Er 0.1126 0.1126 0.3874 (multiplicity 32)  3 Ho 3.40, 6 Er 3.41-3.72, 3 Sc 3.46
4 Er 0.1469 0.1469 0.1469 (multiplicity 32)  3 Ho 3.14, 3 Sc 3.36
5 Sc 0.0000 0.0000 0.2236 (multiplicity 24)  8 Er 3.36-3.46, 1 Ho 3.39


# 3
Computed, not measured: a relaxed structure of HoErSc2 at the PBE-GGA level of DFT.

Computed properties:
polymorph energy (0 for the lowest one)	9	meV per atom
formation energy from the elements	0.05	eV per atom
total DFT energy (no corrections)	-0.1985	hartree per atom

Unit cell a=3.4286 b=3.4286 c=9.3612 alpha=90.00 beta=90.00 gamma=90.00
With the nearest neighbours (Å) after each atom.
Space group P4/mmm (No. 123)
One atom of each set of equivalent atoms:
1 Ho 0.0000 0.0000 0.0000 (multiplicity 1)  8 Sc 3.37, 4 Ho 3.43
2 Er 0.0000 0.0000 0.5000 (multiplicity 1)  8 Sc 3.37, 4 Er 3.43
3 Sc 0.5000 0.5000 0.2505 (multiplicity 2)  4 Er 3.37, 4 Ho 3.37, 4 Sc 3.43


# 4
Computed, not measured: a relaxed structure of Ho4Er2Sc at the PBE-GGA level of DFT.

Computed properties:
polymorph energy (0 for the lowest one)	47	meV per atom
formation energy from the elements	0.19	eV per atom
total DFT energy (no corrections)	-0.1703	hartree per atom

Unit cell a=5.4270 b=11.9973 c=13.1728 alpha=90.00 beta=90.00 gamma=90.00
With the nearest neighbours (Å) after each atom.
Space group Pbca (No. 61)
One atom of each set of equivalent atoms:
1 Ho 0.0021 0.1427 0.1803 (multiplicity 8)  1 Sc 2.93, 2 Ho 3.28
2 Ho 0.0020 0.2440 0.4248 (multiplicity 8)  1 Sc 3.23, 5 Ho 3.28-3.44
3 Er 0.0005 0.0707 0.6558 (multiplicity 8)  6 Ho 3.35-3.73, 2 Sc 3.50-3.51, 2 Er 3.68
4 Sc 0.0000 0.0000 0.0000 (multiplicity 4)  4 Ho 2.93-3.23


| no. | D(E_F) (states/eV/cell) | V (Å³/atom) |
| --- | --- | --- |
| 1 | 77.83 | 27.4 |
| 2 | 234.75 | 30.0 |
| 3 | 6.50 | 27.5 |
| 4 | 43.44 | 30.6 |